Record 1
NdHo6Zn2: relaxed, GGA-PBE.

Lattice parameters (Å, degrees): 6.4736 6.4736 11.7269 107.85 107.85 32.49
Last column: nearest neighbours and their distance in Å.
Fractional coordinates of all 9 atoms:
Nd 0.0000 0.0000 0.0000  4 Zn 3.18
Ho 0.0217 0.0217 0.3339  2 Zn 3.06
Ho 0.3092 0.3092 0.1262  2 Zn 3.07, 3 Ho 3.35-3.38
Ho 0.3126 0.3126 0.4126  2 Zn 3.12, 4 Ho 3.35-3.46
Ho 0.6874 0.6874 0.5874  2 Zn 3.12, 4 Ho 3.35-3.46
Ho 0.6908 0.6908 0.8738  2 Zn 3.07, 3 Ho 3.35-3.38
Ho 0.9783 0.9783 0.6661  2 Zn 3.06
Zn 0.3479 0.3479 0.7861  6 Ho 3.06-3.12, 2 Nd 3.18
Zn 0.6521 0.6521 0.2139  6 Ho 3.06-3.12, 2 Nd 3.18

Values from the calculation:
Distance to the lowest polymorph of the same formula = 0 meV/atom
Total moment = 0.000 μB/atom
Space-group type = C2/m, No. 12

Record 2
NdHo3Zn4: relaxed, GGA-PBE.

Lattice parameters (Å, degrees): 5.0490 5.0490 7.2316 90.00 90.00 90.00
Last column: nearest neighbours and their distance in Å.
Fractional coordinates of all 8 atoms:
Nd 0.0000 0.0000 0.0000  8 Zn 3.15
Ho 0.0000 0.0000 0.5000  8 Zn 3.06
Ho 0.5000 0.5000 0.0000  8 Zn 3.15
Ho 0.5000 0.5000 0.5000  8 Zn 3.06
Zn 0.0000 0.5000 0.2598  6 Ho 3.06-3.15, 2 Nd 3.15
Zn 0.0000 0.5000 0.7402  6 Ho 3.06-3.15, 2 Nd 3.15
Zn 0.5000 0.0000 0.2598  6 Ho 3.06-3.15, 2 Nd 3.15
Zn 0.5000 0.0000 0.7402  6 Ho 3.06-3.15, 2 Nd 3.15

Values from the calculation:
E = -26.23 eV for the cell shown
Total moment = 0.000 μB/atom
Space-group type = P4/mmm, No. 123

Record 3
Nd2HoZn: relaxed, GGA-PBE.

Lattice parameters (Å, degrees): 10.6955 10.6955 10.6955 19.72 19.72 19.72
Last column: nearest neighbours and their distance in Å.
Fractional coordinates of all 4 atoms:
Nd 0.0000 0.0000 0.0000  3 Zn 3.13
Nd 0.1862 0.1862 0.1862  3 Zn 3.14
Ho 0.7600 0.7600 0.7600  6 Nd 3.61-3.62, 6 Ho 3.66
Zn 0.5933 0.5933 0.5933  6 Nd 3.13-3.14

Values from the calculation:
Distance to the lowest polymorph of the same formula = 136 meV/atom
Total moment = 0.000 μB/atom
Space-group type = R3m, No. 160

Record 4
NdHo2Zn3: relaxed, GGA-PBE.

Lattice parameters (Å, degrees): 3.5905 3.5905 10.8267 90.00 90.00 90.00
Last column: nearest neighbours and their distance in Å.
Fractional coordinates of all 6 atoms:
Nd 0.0000 0.0000 0.0000  8 Zn 3.20
Ho 0.0000 0.0000 0.3374  8 Zn 3.05-3.09
Ho 0.0000 0.0000 0.6626  8 Zn 3.05-3.09
Zn 0.5000 0.5000 0.1805  4 Ho 3.05, 4 Nd 3.20
Zn 0.5000 0.5000 0.5000  8 Ho 3.09, 2 Zn 3.46
Zn 0.5000 0.5000 0.8195  4 Ho 3.05, 4 Nd 3.20

Values from the calculation:
E = -19.70 eV for the cell shown
Total moment = 0.000 μB/atom
Space-group type = P4/mmm, No. 123

Record 5
NdHo2Zr: relaxed, GGA-PBE.

Lattice parameters (Å, degrees): 5.5153 5.5153 5.5153 60.00 60.00 60.00
Last column: nearest neighbours and their distance in Å.
Fractional coordinates of all 4 atoms:
Nd 0.0000 0.0000 0.0000  8 Ho 3.38
Ho 0.2500 0.2500 0.2500  4 Zr 3.38, 4 Nd 3.38
Ho 0.7500 0.7500 0.7500  4 Zr 3.38, 4 Nd 3.38
Zr 0.5000 0.5000 0.5000  8 Ho 3.38

Values from the calculation:
Distance to the lowest polymorph of the same formula = 143 meV/atom
Total moment = 0.373 μB/atom
Space-group type = Fm-3m, No. 225

Record 6
NdHo2Zr: relaxed, GGA-PBE.

Lattice parameters (Å, degrees): 11.5545 11.5545 11.5545 17.21 17.21 17.21
Last column: nearest neighbours and their distance in Å.
Fractional coordinates of all 4 atoms:
Nd 0.0000 0.0000 0.0000  6 Nd 3.46, 6 Ho 3.65
Ho 0.2439 0.2439 0.2439  3 Zr 3.31, 6 Ho 3.46, 3 Nd 3.65
Ho 0.7561 0.7561 0.7561  3 Zr 3.31, 6 Ho 3.46, 3 Nd 3.65
Zr 0.5000 0.5000 0.5000  6 Ho 3.31, 6 Zr 3.46

Values from the calculation:
Distance to the lowest polymorph of the same formula = 0 meV/atom
Total moment = 0.000 μB/atom
Space-group type = R-3m, No. 166